# 1
Entry from Alexandria via LeMat-Bulk: an optimized crystal structure of AcDyP2S8 (PBE).

abc: 6.0093 6.0093 9.1094
angles: 90.00 90.00 120.00
Sites, in units of the cell vectors:
Ac 0.0000 0.0000 0.0000
Dy 0.0000 0.0000 0.5000
P 0.3333 0.6667 0.7681
P 0.6667 0.3333 0.2319
S 0.0073 0.3332 0.7069
S 0.3260 0.9927 0.7069
S 0.3332 0.3260 0.2931
S 0.3333 0.6667 0.9908
S 0.6667 0.3333 0.0092
S 0.6668 0.6740 0.7069
S 0.6740 0.0073 0.2931
S 0.9927 0.6668 0.2931

Output
The calculation puts the magnetization at 0.00 μB/cell. Its mass density is 4.13 g/cm³. As for the symmetry: P-3, No. 147. The total energy comes out at -5.36 eV per atom.

# 2
Entry from Alexandria via LeMat-Bulk: an optimized crystal structure of AcDyPS (PBE).

abc: 7.6611 7.6611 7.6611
angles: 30.84 30.84 30.84
Sites, in units of the cell vectors:
Ac 0.0000 0.0000 0.0000
Dy 0.8213 0.8213 0.8213
P 0.4182 0.4182 0.4182
S 0.5714 0.5714 0.5714

Output
The calculation puts the magnetization at 0.00 μB/cell. Its mass density is 7.17 g/cm³. As for the symmetry: R3m, No. 160. The total energy comes out at -6.23 eV per atom.

# 3
Entry from Alexandria via LeMat-Bulk: an optimized crystal structure of AcDyPSe (PBE).

abc: 7.8047 7.8047 7.8047
angles: 30.80 30.80 30.80
Sites, in units of the cell vectors:
Ac 0.0000 0.0000 0.0000
Dy 0.1843 0.1843 0.1843
P 0.5849 0.5849 0.5849
Se 0.4315 0.4315 0.4315

Output
The calculation puts the magnetization at 0.00 μB/cell. Its mass density is 7.50 g/cm³. As for the symmetry: R3m, No. 160. The total energy comes out at -6.03 eV per atom.

# 4
Entry from Alexandria via LeMat-Bulk: an optimized crystal structure of AcSmDy2P4 (PBE).

abc: 7.1831 4.1466 7.1860
angles: 90.00 109.39 90.00
Sites, in units of the cell vectors:
Ac 0.0000 0.0000 0.0000
Sm 0.0000 0.5000 0.5000
Dy 0.5000 0.0000 0.5000
Dy 0.5000 0.5000 0.0000
P 0.2617 0.0000 0.7464
P 0.2680 0.5000 0.2639
P 0.7320 0.5000 0.7361
P 0.7383 0.0000 0.2536

Output
The calculation puts the magnetization at 0.00 μB/cell. Its mass density is 6.80 g/cm³. As for the symmetry: P2/m, No. 10. The value obtained for the formation energy is -1.522 eV/atom. The total energy comes out at -6.48 eV per atom.

# 5
Entry from Alexandria via LeMat-Bulk: an optimized crystal structure of Ac2SmDyP4 (PBE).

abc: 7.3613 4.2530 7.3793
angles: 90.00 109.40 90.00
Sites, in units of the cell vectors:
Ac 0.0000 0.0000 0.0000
Ac 0.5000 0.5000 0.0000
Sm 0.0000 0.5000 0.5000
Dy 0.5000 0.0000 0.5000
P 0.2462 0.0000 0.7304
P 0.2597 0.5000 0.2712
P 0.7403 0.5000 0.7288
P 0.7538 0.0000 0.2696

Output
The calculation puts the magnetization at 0.00 μB/cell. Its mass density is 6.79 g/cm³. As for the symmetry: P2/m, No. 10. The value obtained for the formation energy is -1.491 eV/atom. The total energy comes out at -6.39 eV per atom.

# 6
Entry from Alexandria via LeMat-Bulk: an optimized crystal structure of AcDyTeP (PBE).

abc: 8.0695 8.0695 8.0695
angles: 30.53 30.53 30.53
Sites, in units of the cell vectors:
Ac 0.0000 0.0000 0.0000
Dy 0.1927 0.1927 0.1927
Te 0.4364 0.4364 0.4364
P 0.5897 0.5897 0.5897

Output
The calculation puts the magnetization at 0.00 μB/cell. Its mass density is 7.57 g/cm³. As for the symmetry: R3m, No. 160. The total energy comes out at -5.78 eV per atom.

# 7
Entry from Alexandria via LeMat-Bulk: an optimized crystal structure of Ac2DyThP4 (PBE).

abc: 7.3301 4.2489 7.4187
angles: 90.00 109.30 90.00
Sites, in units of the cell vectors:
Ac 0.0000 0.0000 0.0000
Ac 0.5000 0.5000 0.0000
Dy 0.0000 0.5000 0.5000
Th 0.5000 0.0000 0.5000
P 0.2411 0.0000 0.7273
P 0.2552 0.5000 0.2720
P 0.7448 0.5000 0.7280
P 0.7589 0.0000 0.2727

Output
The calculation puts the magnetization at 0.00 μB/cell. Its mass density is 7.40 g/cm³. As for the symmetry: P2/m, No. 10. The value obtained for the formation energy is -1.516 eV/atom. The total energy comes out at -6.75 eV per atom.

# 8
Entry from Alexandria via LeMat-Bulk: an optimized crystal structure of Ac4DyTh3P8 (PBE).

abc: 8.5744 8.5744 8.5744
angles: 59.48 59.48 59.48
Sites, in units of the cell vectors:
Ac 0.0000 0.0000 0.0000
Ac 0.0000 0.5000 0.5000
Ac 0.5000 0.0000 0.5000
Ac 0.5000 0.5000 0.0000
Dy 0.5000 0.5000 0.5000
Th 0.0000 0.0000 0.5000
Th 0.0000 0.5000 0.0000
Th 0.5000 0.0000 0.0000
P 0.2431 0.2431 0.2431
P 0.2443 0.7418 0.7418
P 0.2582 0.2582 0.7557
P 0.2582 0.7557 0.2582
P 0.7418 0.2443 0.7418
P 0.7418 0.7418 0.2443
P 0.7557 0.2582 0.2582
P 0.7569 0.7569 0.7569

Output
The calculation puts the magnetization at 0.00 μB/cell. Its mass density is 7.59 g/cm³. As for the symmetry: R-3m, No. 166. The value obtained for the formation energy is -1.515 eV/atom. The total energy comes out at -6.93 eV per atom.

# 9
Entry from Alexandria via LeMat-Bulk: an optimized crystal structure of AcDyTh2P4 (PBE).

abc: 7.2450 4.1884 7.2591
angles: 90.00 109.51 90.00
Sites, in units of the cell vectors:
Ac 0.0000 0.0000 0.0000
Dy 0.0000 0.5000 0.5000
Th 0.5000 0.0000 0.5000
Th 0.5000 0.5000 0.0000
P 0.2531 0.0000 0.7415
P 0.2613 0.5000 0.2637
P 0.7387 0.5000 0.7363
P 0.7469 0.0000 0.2585

Output
The calculation puts the magnetization at 0.00 μB/cell. Its mass density is 7.82 g/cm³. As for the symmetry: P2/m, No. 10. The value obtained for the formation energy is -1.510 eV/atom. The total energy comes out at -7.16 eV per atom.

# 10
Entry from Alexandria via LeMat-Bulk: an optimized crystal structure of AcDy2ThP4 (PBE).

abc: 7.1541 4.1507 7.2108
angles: 90.00 109.44 90.00
Sites, in units of the cell vectors:
Ac 0.0000 0.0000 0.0000
Dy 0.5000 0.0000 0.5000
Dy 0.5000 0.5000 0.0000
Th 0.0000 0.5000 0.5000
P 0.2610 0.0000 0.7450
P 0.2668 0.5000 0.2655
P 0.7332 0.5000 0.7345
P 0.7390 0.0000 0.2550

Output
The calculation puts the magnetization at 0.00 μB/cell. Its mass density is 7.47 g/cm³. As for the symmetry: P2/m, No. 10. The value obtained for the formation energy is -1.541 eV/atom. The total energy comes out at -6.84 eV per atom.

# 11
Entry from Alexandria via LeMat-Bulk: an optimized crystal structure of Ac2DyYP4 (PBE).

abc: 7.3225 4.2298 7.3364
angles: 90.00 109.41 90.00
Sites, in units of the cell vectors:
Ac 0.0000 0.0000 0.0000
Ac 0.5000 0.5000 0.0000
Dy 0.0000 0.5000 0.5000
Y 0.5000 0.0000 0.5000
P 0.2419 0.0000 0.7270
P 0.2572 0.5000 0.2729
P 0.7428 0.5000 0.7271
P 0.7581 0.0000 0.2730

Output
The calculation puts the magnetization at 0.00 μB/cell. Its mass density is 6.43 g/cm³. As for the symmetry: P2/m, No. 10. The value obtained for the formation energy is -1.500 eV/atom. The total energy comes out at -6.62 eV per atom.

# 12
Entry from Alexandria via LeMat-Bulk: an optimized crystal structure of Ac2DyPa (PBE).

abc: 13.0966 13.0966 13.0966
angles: 15.60 15.60 15.60
Sites, in units of the cell vectors:
Ac 0.0861 0.0861 0.0861
Ac 0.9139 0.9139 0.9139
Dy 0.5000 0.5000 0.5000
Pa 0.0000 0.0000 0.0000

Output
The calculation puts the magnetization at 0.00 μB/cell. Its mass density is 9.94 g/cm³. As for the symmetry: R-3m, No. 166. The value obtained for the formation energy is 0.487 eV/atom. The total energy comes out at -5.09 eV per atom.

# 13
Entry from Alexandria via LeMat-Bulk: an optimized crystal structure of AcDy2Pa (PBE).

abc: 12.5489 12.5489 12.5489
angles: 16.05 16.05 16.05
Sites, in units of the cell vectors:
Ac 0.0000 0.0000 0.0000
Dy 0.0951 0.0951 0.0951
Dy 0.9049 0.9049 0.9049
Pa 0.5000 0.5000 0.5000

Output
The calculation puts the magnetization at 0.00 μB/cell. Its mass density is 9.88 g/cm³. As for the symmetry: R-3m, No. 166. The value obtained for the formation energy is 0.251 eV/atom. The total energy comes out at -5.45 eV per atom.

# 14
Entry from Alexandria via LeMat-Bulk: an optimized crystal structure of AcDyPb (PBE).

abc: 8.5924 8.5924 8.5924
angles: 152.55 132.67 55.58
Sites, in units of the cell vectors:
Ac 0.1847 0.1847 0.0000
Ac 0.8153 0.8153 0.0000
Dy 0.2514 0.5000 0.7514
Dy 0.7486 0.5000 0.2486
Pb 0.3685 0.8685 0.5000
Pb 0.6315 0.1315 0.5000

Output
The calculation puts the magnetization at 0.00 μB/cell. Its mass density is 9.27 g/cm³. As for the symmetry: Immm, No. 71. The value obtained for the formation energy is -0.292 eV/atom. The total energy comes out at -4.43 eV per atom.

# 15
Entry from Alexandria via LeMat-Bulk: an optimized crystal structure of AcDy4Pb4 (PBE).

abc: 10.2441 10.2441 6.2122
angles: 90.00 90.00 90.00
Sites, in units of the cell vectors:
Ac 0.2500 0.2500 0.2500
Ac 0.7500 0.7500 0.7500
Dy 0.1077 0.6384 0.1557
Dy 0.1384 0.8923 0.6557
Dy 0.3616 0.6077 0.6557
Dy 0.3923 0.8616 0.1557
Dy 0.6077 0.1384 0.8443
Dy 0.6384 0.3923 0.3443
Dy 0.8616 0.1077 0.3443
Dy 0.8923 0.3616 0.8443
Pb 0.0555 0.5990 0.6701
Pb 0.0990 0.9445 0.1701
Pb 0.4010 0.5555 0.1701
Pb 0.4445 0.9010 0.6701
Pb 0.5555 0.0990 0.3299
Pb 0.5990 0.4445 0.8299
Pb 0.9010 0.0555 0.8299
Pb 0.9445 0.4010 0.3299

Output
The calculation puts the magnetization at 0.00 μB/cell. Its mass density is 8.69 g/cm³. As for the symmetry: P4_2/n, No. 86. The value obtained for the formation energy is -0.258 eV/atom. The total energy comes out at -4.41 eV per atom.

# 16
Entry from Alexandria via LeMat-Bulk: an optimized crystal structure of AcDyPb (PBE).

abc: 6.4172 6.4172 6.4172
angles: 141.60 141.60 55.43
Sites, in units of the cell vectors:
Ac 0.0000 0.0000 0.0000
Dy 0.3019 0.3019 0.0000
Pb 0.6814 0.6814 0.0000

Output
The calculation puts the magnetization at 0.00 μB/cell. Its mass density is 9.79 g/cm³. As for the symmetry: I4mm, No. 107. The value obtained for the formation energy is -0.239 eV/atom. The total energy comes out at -4.38 eV per atom.

# 17
Entry from Alexandria via LeMat-Bulk: an optimized crystal structure of Ac3DyPb12 (PBE).

abc: 5.0443 5.0443 19.8791
angles: 90.00 90.00 90.00
Sites, in units of the cell vectors:
Ac 0.0000 0.0000 0.0000
Ac 0.0000 0.0000 0.2560
Ac 0.0000 0.0000 0.7440
Dy 0.0000 0.0000 0.5000
Pb 0.0000 0.5000 0.1279
Pb 0.0000 0.5000 0.3838
Pb 0.0000 0.5000 0.6162
Pb 0.0000 0.5000 0.8721
Pb 0.5000 0.0000 0.1279
Pb 0.5000 0.0000 0.3838
Pb 0.5000 0.0000 0.6162
Pb 0.5000 0.0000 0.8721
Pb 0.5000 0.5000 0.0000
Pb 0.5000 0.5000 0.2550
Pb 0.5000 0.5000 0.5000
Pb 0.5000 0.5000 0.7450

Output
The calculation puts the magnetization at 0.00 μB/cell. Its mass density is 10.93 g/cm³. As for the symmetry: P4/mmm, No. 123. The value obtained for the formation energy is -0.381 eV/atom. The total energy comes out at -4.22 eV per atom.

# 18
Entry from Alexandria via LeMat-Bulk: an optimized crystal structure of Ac7DyPb5 (PBE).

abc: 9.0972 9.0972 9.0972
angles: 134.82 100.13 96.84
Sites, in units of the cell vectors:
Ac 0.0000 0.0000 0.0000
Ac 0.2425 0.5619 0.6805
Ac 0.3575 0.3575 0.0000
Ac 0.3844 0.0486 0.3358
Ac 0.7129 0.0486 0.6642
Ac 0.8116 0.3116 0.5000
Ac 0.8814 0.5619 0.3195
Dy 0.6779 0.6779 0.0000
Pb 0.0416 0.0376 0.4683
Pb 0.0416 0.5733 0.0040
Pb 0.2974 0.7974 0.5000
Pb 0.5693 0.0376 0.9960
Pb 0.5693 0.5733 0.5317

Output
The calculation puts the magnetization at 0.00 μB/cell. Its mass density is 9.39 g/cm³. As for the symmetry: Imm2, No. 44. The value obtained for the formation energy is -0.295 eV/atom. The total energy comes out at -4.29 eV per atom.

# 19
Entry from Alexandria via LeMat-Bulk: an optimized crystal structure of AcDyPb6 (PBE).

abc: 4.9937 4.9937 9.8586
angles: 90.00 90.00 90.00
Sites, in units of the cell vectors:
Ac 0.0000 0.0000 0.0000
Dy 0.0000 0.0000 0.5000
Pb 0.0000 0.5000 0.2616
Pb 0.0000 0.5000 0.7384
Pb 0.5000 0.0000 0.2616
Pb 0.5000 0.0000 0.7384
Pb 0.5000 0.5000 0.0000
Pb 0.5000 0.5000 0.5000

Output
The calculation puts the magnetization at 0.00 μB/cell. Its mass density is 11.03 g/cm³. As for the symmetry: P4/mmm, No. 123. The value obtained for the formation energy is -0.344 eV/atom. The total energy comes out at -4.21 eV per atom.

# 20
Entry from Alexandria via LeMat-Bulk: an optimized crystal structure of AcDyPb (PBE).

abc: 5.2551 5.2551 4.5266
angles: 90.00 90.00 120.00
Sites, in units of the cell vectors:
Ac 0.0000 0.0000 0.0000
Dy 0.6667 0.3333 0.5000
Pb 0.3333 0.6667 0.5000

Output
The calculation puts the magnetization at 0.00 μB/cell. Its mass density is 9.15 g/cm³. As for the symmetry: P-6m2, No. 187. The value obtained for the formation energy is -0.267 eV/atom. The total energy comes out at -4.41 eV per atom.